[1]
Here is a relaxed structure of AlSe2N from the Alexandria database. Energies are from PBE.

Computed properties:
* M_tot: 1.67 μB/f.u.
* theoretical density: 5.2 g cm⁻³
* relative energy among the computed polymorphs: 559.3 meV per atom
* total DFT energy (no corrections): -3.649 eV per atom
* raw formation energy: 1.110 eV/atom

a b c (Å): 6.320 6.320 6.320
angles (deg): 90.00 90.00 90.00
Space group Fm-3m (No. 225)
Symmetry-distinct sites (fractional):
Al: 0.000 0.000 0.000 x4
Se: 0.250 0.250 0.250 x8
N: 0.000 0.000 0.500 x4

[2]
Here is a relaxed structure of SbPbAu2 from the Alexandria database. Energies are from PBE.

Computed properties:
* M_tot: 0.00 μB/f.u.
* theoretical density: 11.5 g cm⁻³
* total DFT energy (no corrections): -3.570 eV per atom
* raw formation energy: 0.026 eV/atom

a b c (Å): 9.713 3.853 6.238
angles (deg): 90.00 117.05 90.00
Space group Cm (No. 8)
Symmetry-distinct sites (fractional):
Sb: 0.000 0.000 0.000 x2
Pb: 0.164 0.000 0.635 x2
Au: 0.232 0.500 0.299 x2
Au: 0.420 0.000 0.258 x2

[3]
Here is a relaxed structure of Al4Co2NiPd from the Alexandria database. Energies are from PBE.

Computed properties:
* M_tot: 0.42 μB/f.u.
* theoretical density: 6.5 g cm⁻³
* E_form: -0.627 eV per atom
* total DFT energy (no corrections): -5.647 eV per atom

a b c (Å): 4.1365 4.1365 20.3246
angles (deg): 90.00 90.00 120.00
Space group R-3m (No. 166, hexagonal axes)
Symmetry-distinct sites (fractional):
Al: 0.0000 0.0000 0.1209 x6
Al: 0.0000 0.0000 0.3718 x6
Co: 0.0000 0.0000 0.2501 x6
Ni: 0.0000 0.0000 0.0000 x3
Pd: 0.0000 0.0000 0.5000 x3

[4]
Here is a relaxed structure of BeGe3Pd from the Alexandria database. Energies are from PBE.

Computed properties:
* M_tot: 0.00 μB/f.u.
* theoretical density: 6.4 g cm⁻³
* E_form: 0.415 eV per atom
* relative energy among the computed polymorphs: 0.0 meV per atom
* total DFT energy (no corrections): -4.139 eV per atom

a b c (Å): 4.433 4.433 4.433
angles (deg): 90.00 90.00 90.00
Space group Pm-3m (No. 221)
Symmetry-distinct sites (fractional):
Be: 0.000 0.000 0.000 x1
Ge: 0.000 0.000 0.500 x3
Pd: 0.500 0.500 0.500 x1

[5]
Here is a relaxed structure of Zr2Cd2In from the Alexandria database. Energies are from PBE.

Computed properties:
* M_tot: 0.00 μB/f.u.
* theoretical density: 7.2 g cm⁻³
* E_form: 0.140 eV per atom
* total DFT energy (no corrections): -4.193 eV per atom

a b c (Å): 8.004 8.004 3.743
angles (deg): 90.00 90.00 90.00
Space group P4/mbm (No. 127)
Symmetry-distinct sites (fractional):
Zr: 0.152 0.348 0.000 x4
Cd: 0.147 0.647 0.500 x4
In: 0.000 0.000 0.000 x2

[6]
Here is a relaxed structure of Tl3I4 from the Alexandria database. Energies are from PBE.

Computed properties:
* M_tot: 0.00 μB/f.u.
* theoretical density: 6.0 g cm⁻³
* relative energy among the computed polymorphs: 9.5 meV per atom
* total DFT energy (no corrections): -2.394 eV per atom
* raw formation energy: -0.494 eV/atom

a b c (Å): 4.9022 4.9022 44.3601
angles (deg): 90.00 90.00 120.00
Space group R-3m (No. 166, hexagonal axes)
Symmetry-distinct sites (fractional):
Tl: 0.0000 0.0000 0.0000 x3
Tl: 0.0000 0.0000 0.2376 x6
I: 0.0000 0.0000 0.1344 x6
I: 0.0000 0.0000 0.3797 x6

[7]
Here is a relaxed structure of CrRu2Au2 from the Alexandria database. Energies are from PBE.

Computed properties:
* M_tot: 0.00 μB/f.u.
* theoretical density: 13.1 g cm⁻³
* E_form: 0.895 eV per atom
* relative energy among the computed polymorphs: 11.5 meV per atom
* total DFT energy (no corrections): -6.051 eV per atom

a b c (Å): 7.355 7.355 3.031
angles (deg): 90.00 90.00 90.00
Space group P4/mbm (No. 127)
Symmetry-distinct sites (fractional):
Cr: 0.000 0.000 0.000 x2
Ru: 0.127 0.373 0.500 x4
Au: 0.170 0.670 0.000 x4

[8]
Here is a relaxed structure of ScPaAu2O8 from the Alexandria database. Energies are from PBE.

Computed properties:
* M_tot: 0.00 μB/f.u.
* theoretical density: 7.7 g cm⁻³
* total DFT energy (no corrections): -6.593 eV per atom
* raw formation energy: -1.422 eV/atom

a b c (Å): 6.980 6.980 7.017
angles (deg): 90.00 90.00 90.00
Space group I-4m2 (No. 119)
Symmetry-distinct sites (fractional):
Sc: 0.000 0.000 0.000 x2
Pa: 0.000 0.500 0.250 x2
Au: 0.000 0.000 0.500 x2
Au: 0.000 0.500 0.750 x2
O: 0.000 0.177 0.265 x8
O: 0.000 0.317 0.977 x8

[9]
Here is a relaxed structure of CoReC2 from the Alexandria database. Energies are from PBE.

Computed properties:
* M_tot: 0.00 μB/f.u.
* theoretical density: 12.7 g cm⁻³
* E_form: 1.071 eV per atom
* relative energy among the computed polymorphs: 486.1 meV per atom
* total DFT energy (no corrections): -8.429 eV per atom

a b c (Å): 5.205 5.205 5.205
angles (deg): 90.00 90.00 90.00
Space group Fm-3m (No. 225)
Symmetry-distinct sites (fractional):
Co: 0.000 0.000 0.000 x4
Re: 0.000 0.000 0.500 x4
C: 0.250 0.250 0.250 x8

[10]
Here is a relaxed structure of BiPbBr2 from the Alexandria database. Energies are from PBE.

Computed properties:
* M_tot: 0.00 μB/f.u.
* theoretical density: 7.3 g cm⁻³
* relative energy among the computed polymorphs: 135.8 meV per atom
* total DFT energy (no corrections): -2.951 eV per atom
* raw formation energy: -0.217 eV/atom

a b c (Å): 8.616 8.616 7.029
angles (deg): 90.00 90.00 90.00
Space group I-42d (No. 122)
Symmetry-distinct sites (fractional):
Bi: 0.000 0.000 0.000 x4
Pb: 0.000 0.000 0.500 x4
Br: 0.248 0.250 0.125 x8

[11]
Here is a relaxed structure of MgTl2Ga from the Alexandria database. Energies are from PBE.

Computed properties:
* M_tot: 0.00 μB/f.u.
* theoretical density: 8.0 g cm⁻³
* E_form: 0.111 eV per atom
* relative energy among the computed polymorphs: 73.2 meV per atom
* total DFT energy (no corrections): -2.227 eV per atom

a b c (Å): 3.3216 3.3216 32.9738
angles (deg): 90.00 90.00 120.00
Space group R-3m (No. 166, hexagonal axes)
Symmetry-distinct sites (fractional):
Mg: 0.0000 0.0000 0.0000 x3
Tl: 0.0000 0.0000 0.4126 x6
Ga: 0.0000 0.0000 0.5000 x3

[12]
Here is a relaxed structure of TbGdHo from the Alexandria database. Energies are from PBE.

Computed properties:
* M_tot: 7.26 μB/f.u.
* theoretical density: 8.4 g cm⁻³
* E_form: 0.021 eV per atom
* total DFT energy (no corrections): -7.742 eV per atom

a b c (Å): 3.560 3.560 15.060
angles (deg): 90.00 90.00 90.00
Space group I4mm (No. 107)
Symmetry-distinct sites (fractional):
Tb: 0.000 0.000 0.000 x2
Gd: 0.000 0.000 0.331 x2
Ho: 0.000 0.000 0.664 x2